Record 1
Density functional theory data (PBE-GGA) for a relaxed LaPd8Au3 crystal.

```
LaPd8Au3
1.0
5.327 0.000 0.000
-2.663 4.613 0.000
0.000 0.000 8.723
Au Pd La
3 8 1
Cartesian
2.663 1.538 3.653 Au
0.000 0.000 8.354 Au
2.663 1.538 0.515 Au
0.000 3.075 4.350 Pd
3.970 2.292 6.575 Pd
-1.350 3.855 2.155 Pd
2.663 0.029 6.575 Pd
1.357 2.292 6.575 Pd
0.000 3.075 8.705 Pd
1.350 3.855 2.155 Pd
0.000 1.517 2.155 Pd
0.000 0.000 4.934 La
```

Properties
Total magnetization   0.000 μB per cell
Symmetry   P3m1, No. 156

---

Record 2
Density functional theory data (PBE-GGA) for a relaxed La4Pd3Au crystal.

```
La4Pd3Au
1.0
3.983 0.000 0.000
0.000 4.743 0.000
0.000 0.000 11.181
La Pd Au
4 3 1
Cartesian
0.000 0.000 1.528 La
0.000 2.371 9.608 La
1.991 2.371 4.147 La
1.991 0.000 7.103 La
0.000 2.371 6.579 Pd
0.000 0.000 4.613 Pd
1.991 0.000 10.187 Pd
1.991 2.371 0.960 Au
```

Properties
Total magnetization   0.000 μB per cell
Symmetry   Pmm2, No. 25

---

Record 3
Density functional theory data (PBE-GGA) for a relaxed La2Pd5Au12 crystal.

```
La2Pd5Au12
1.0
-6.996 1.705 0.723
-2.177 -2.483 -6.441
-2.252 -6.490 2.279
Pd Au La
5 12 2
Cartesian
-10.247 -6.518 -3.084 Pd
-1.178 -0.749 -0.354 Pd
-1.088 -1.241 -3.220 Pd
-1.126 -3.245 1.139 Pd
-3.498 0.853 0.362 Pd
-6.329 -1.510 -3.375 Au
-7.455 -1.681 -0.837 Au
-5.058 -3.764 -4.400 Au
-5.096 -5.757 -0.063 Au
-6.367 -3.504 0.961 Au
-5.560 -0.775 1.194 Au
-5.538 0.438 -1.445 Au
-2.229 -5.277 -0.360 Au
-3.636 -1.215 -4.272 Au
-3.688 -4.009 1.808 Au
-3.970 -5.586 -2.602 Au
-2.199 -3.696 -3.801 Au
-3.581 -2.278 -1.078 La
-7.844 -4.989 -2.361 La
```

Properties
Total magnetization   0.000 μB per cell
Symmetry   R-3m, No. 166

---

no.,electronic total energy (eV per cell)
1,-58.92
2,-45.16
3,-82.53